CaMg2Hg PBE optimized geometry; DFT formation energy = -0.057 eV/atom; total moment = 0.00 μB per cell; E_tot = -1.4298 eV per atom
1.0
1.7924 1.0348 9.8892
-1.7924 1.0348 9.8892
0.0000 -2.0697 9.8892
Ca Mg Hg
1 2 1
Cartesian
0.0000 0.0000 0.0000
0.0000 0.0000 7.0795
0.0000 0.0000 22.5882
0.0000 0.0000 14.8338